Here is crystalline Ce3InGe at its relaxed geometry from the Alexandria database. Energies are from PBE.

Properties
Its space group is Imma. As for the formation energy: -1.4 eV/f.u. The calculation puts the total magnetization at 6.1 Bohr magnetons per cell. The density of states at the Fermi level comes out at 14.1 states/eV/f.u.

a = 5.3608 Å, b = 8.8878 Å, c = 7.8231 Å
α = 124.61°, β = 110.04°, γ = 90.00°
Last column: nearest neighbours and their distance in Å.
Fractional coordinates of all 10 atoms:
In1 0.7500 0.9054 0.5000  5 Ce 3.16-3.37, 2 In 3.16
Ce1 0.0375 0.1962 0.0751  3 Ce 2.95-3.13, 3 Ge 3.06-3.07
In2 0.2500 0.0946 0.5000  5 Ce 3.16-3.37, 2 In 3.16
Ce2 0.4625 0.6211 0.9249  3 Ce 2.95-3.13, 3 Ge 3.06-3.07
Ce3 0.9625 0.8038 0.9249  3 Ce 2.95-3.13, 3 Ge 3.06-3.07
Ce4 0.5375 0.3789 0.0751  3 Ce 2.95-3.13, 3 Ge 3.06-3.07
Ge1 0.0000 0.5000 0.0000  8 Ce 2.94-3.07
Ge2 0.5000 0.0000 0.0000  8 Ce 2.94-3.07
Ce5 0.2500 0.7173 0.5000  2 Ge 2.94, 2 In 3.16
Ce6 0.7500 0.2827 0.5000  2 Ge 2.94, 2 In 3.16

=====

Here is crystalline BaInGe2 at its relaxed geometry from the Alexandria database. Energies are from PBE.

Properties
Its space group is R-3m. As for the formation energy: -1.0 eV/f.u. The calculation puts the total magnetization at 0.0 Bohr magnetons per cell. The density of states at the Fermi level comes out at 2.1 states/eV/f.u.

a = 4.8191 Å, b = 4.8191 Å, c = 6.4142 Å
α = 67.94°, β = 67.94°, γ = 60.00°
Last column: nearest neighbours and their distance in Å.
Fractional coordinates of all 4 atoms:
Ba1 0.0000 0.0000 0.0000  8 Ge 3.52-3.63
In1 0.5000 0.5000 0.5000  6 Ge 2.88
Ge1 0.7908 0.7908 0.6275  3 In 2.88, 3 Ge 3.15
Ge2 0.2092 0.2092 0.3725  3 In 2.88, 3 Ge 3.15

=====

Here is crystalline PuFeCoGe at its relaxed geometry from the Alexandria database. Energies are from PBE.

Properties
Its space group is F-43m. As for the formation energy: -0.6 eV/f.u. The calculation puts the total magnetization at 1.4 Bohr magnetons per cell. The density of states at the Fermi level comes out at 6.2 states/eV/f.u.

a = 4.4257 Å, b = 4.4257 Å, c = 4.4257 Å
α = 60.00°, β = 60.00°, γ = 60.00°
Last column: nearest neighbours and their distance in Å.
Fractional coordinates of all 4 atoms:
Pu1 0.7500 0.7500 0.7500  4 Fe 2.71, 4 Co 2.71
Fe1 0.0000 0.0000 0.0000  4 Pu 2.71, 4 Ge 2.71
Co1 0.5000 0.5000 0.5000  4 Ge 2.71, 4 Pu 2.71
Ge1 0.2500 0.2500 0.2500  4 Fe 2.71, 4 Co 2.71

=====

Here is crystalline PdS3Cl at its relaxed geometry from the Alexandria database. Energies are from PBE.

Properties
Its space group is Pm-3m. For the relative energy among the computed polymorphs, the calculation gives 1.428 eV/atom. The calculation puts the total magnetization at 1.2 Bohr magnetons per cell. Its formation energy (no corrections) is 1.31 eV per atom. The density of states at the Fermi level comes out at 6.2 states/eV/f.u.

a = 4.6249 Å, b = 4.6249 Å, c = 4.6249 Å
α = 90.00°, β = 90.00°, γ = 90.00°
Last column: nearest neighbours and their distance in Å.
Fractional coordinates of all 5 atoms:
S1 0.0000 0.0000 0.5000  2 Cl 2.31
S2 0.5000 0.0000 0.0000  2 Cl 2.31
Cl1 0.0000 0.0000 0.0000  6 S 2.31
Pd1 0.5000 0.5000 0.5000  12 S 3.27
S3 0.0000 0.5000 0.0000  2 Cl 2.31

=====

Here is crystalline SrRe2Cl at its relaxed geometry from the Alexandria database. Energies are from PBE.

Properties
Its space group is R-3m. For the relative energy among the computed polymorphs, the calculation gives 1.338 eV/atom. The calculation puts the total magnetization at 0.0 Bohr magnetons per cell. Its formation energy (no corrections) is 1.32 eV per atom. The density of states at the Fermi level comes out at 5.8 states/eV/f.u.

a = 9.9249 Å, b = 9.9249 Å, c = 9.9249 Å
α = 17.01°, β = 17.01°, γ = 17.01°
Last column: nearest neighbours and their distance in Å.
Fractional coordinates of all 4 atoms:
Sr1 0.2500 0.2500 0.2500  6 Sr 2.93, 6 Re 3.25
Re1 0.0113 0.0113 0.0113  3 Cl 2.71, 6 Re 2.93
Re2 0.4887 0.4887 0.4887  3 Cl 2.71, 6 Re 2.93
Cl1 0.7500 0.7500 0.7500  6 Re 2.71, 6 Cl 2.93

=====

Here is crystalline KHg2RuBr8 at its relaxed geometry from the Alexandria database. Energies are from PBE.

Properties
Its space group is P-1. The calculation puts the total magnetization at 1.0 Bohr magnetons per cell. Its formation energy (no corrections) is -0.59 eV per atom. The density of states at the Fermi level comes out at 5.5 states/eV/f.u.

a = 6.8774 Å, b = 7.3848 Å, c = 9.2462 Å
α = 65.78°, β = 90.43°, γ = 97.40°
Last column: nearest neighbours and their distance in Å.
Fractional coordinates of all 12 atoms:
K1 0.0000 0.0000 0.5000  6 Br 3.36-3.44
Br1 0.7945 0.1348 0.1468  1 Ru 2.52
Ru1 0.0000 0.0000 0.0000  6 Br 2.50-2.53
Br2 0.5614 0.7080 0.5808  1 Hg 2.66
Br3 0.7185 0.7311 0.0383  1 Ru 2.50, 1 Hg 2.69
Br4 0.2055 0.8652 0.8532  1 Ru 2.52
Br5 0.2815 0.2689 0.9617  1 Ru 2.50, 1 Hg 2.69
Br6 0.8766 0.2278 0.7384  1 Ru 2.53, 1 Hg 2.80
Br7 0.1234 0.7722 0.2616  1 Ru 2.53, 1 Hg 2.80
Hg1 0.4731 0.2488 0.7175  4 Br 2.66-2.96
Br8 0.4386 0.2920 0.4192  1 Hg 2.66
Hg2 0.5269 0.7512 0.2825  4 Br 2.66-2.96

=====

Here is crystalline ScAgAu2N at its relaxed geometry from the Alexandria database. Energies are from PBE.

Properties
Its space group is P4/mmm. The calculation puts the total magnetization at 0.0 Bohr magnetons per cell. Its formation energy (no corrections) is 0.45 eV per atom. The density of states at the Fermi level comes out at 3.7 states/eV/f.u.

a = 4.5480 Å, b = 4.2973 Å, c = 4.5480 Å
α = 90.00°, β = 90.00°, γ = 90.00°
Last column: nearest neighbours and their distance in Å.
Fractional coordinates of all 5 atoms:
Ag1 0.0000 0.5000 0.0000  2 N 2.15
Sc1 0.5000 0.5000 0.5000  8 Au 3.13, 4 Ag 3.22
N1 0.0000 0.0000 0.0000  2 Ag 2.15, 4 Au 2.27
Au1 0.0000 0.0000 0.5000  2 N 2.27
Au2 0.5000 0.0000 0.0000  2 N 2.27

=====

Here is crystalline SrCaTiO2 at its relaxed geometry from the Alexandria database. Energies are from PBE.

Properties
Its space group is P4/mmm. The calculation puts the total magnetization at 2.8 Bohr magnetons per cell. Its formation energy (no corrections) is 0.00 eV per atom. The density of states at the Fermi level comes out at 6.1 states/eV/f.u.

a = 4.4753 Å, b = 5.5145 Å, c = 4.4753 Å
α = 90.00°, β = 90.00°, γ = 90.00°
Last column: nearest neighbours and their distance in Å.
Fractional coordinates of all 5 atoms:
O1 0.0000 0.0000 0.5000  2 Ca 2.24
Ca1 0.0000 0.0000 0.0000  4 O 2.24
O2 0.5000 0.0000 0.0000  2 Ca 2.24
Sr1 0.0000 0.5000 0.0000  2 Ca 2.76
Ti1 0.5000 0.5000 0.5000  4 Sr 3.16

=====

Here is crystalline Pr4Y8Pu at its relaxed geometry from the Alexandria database. Energies are from PBE.

Properties
Its space group is R-3m. As for the formation energy: 7.1 eV/f.u. The calculation puts the total magnetization at 7.3 Bohr magnetons per cell. The density of states at the Fermi level comes out at 23.1 states/eV/f.u.

a = 7.8461 Å, b = 7.8461 Å, c = 7.8461 Å
α = 90.17°, β = 90.17°, γ = 90.17°
Last column: nearest neighbours and their distance in Å.
Fractional coordinates of all 13 atoms:
Y1 0.2450 0.7566 0.7566  4 Pr 3.32-3.43, 1 Pu 3.48
Pr1 0.0000 0.5000 0.5000  8 Y 3.42-3.43
Y2 0.7566 0.7566 0.2450  4 Pr 3.32-3.43, 1 Pu 3.48
Pu1 0.5000 0.5000 0.5000  8 Y 3.47-3.48
Pr2 0.0000 0.0000 0.0000  8 Y 3.31-3.32
Pr3 0.5000 0.5000 0.0000  8 Y 3.42-3.43
Y3 0.2440 0.2440 0.2440  4 Pr 3.31-3.43, 1 Pu 3.47
Y4 0.2434 0.7550 0.2434  4 Pr 3.32-3.43, 1 Pu 3.48
Y5 0.7550 0.2434 0.2434  4 Pr 3.32-3.43, 1 Pu 3.48
Pr4 0.5000 0.0000 0.5000  8 Y 3.42-3.43
Y6 0.2434 0.2434 0.7550  4 Pr 3.32-3.43, 1 Pu 3.48
Y7 0.7566 0.2450 0.7566  4 Pr 3.32-3.43, 1 Pu 3.48
Y8 0.7560 0.7560 0.7560  4 Pr 3.31-3.43, 1 Pu 3.47

=====

Here is crystalline SrHN2F at its relaxed geometry from the Alexandria database. Energies are from PBE.

Properties
Its space group is P4/mmm. For the relative energy among the computed polymorphs, the calculation gives 0.000 eV/atom. The calculation puts the total magnetization at 0.3 Bohr magnetons per cell. The density of states at the Fermi level comes out at 1.9 states/eV/f.u.

a = 3.2924 Å, b = 3.2924 Å, c = 4.9792 Å
α = 90.00°, β = 90.00°, γ = 90.00°
Last column: nearest neighbours and their distance in Å.
Fractional coordinates of all 5 atoms:
N1 0.5000 0.0000 0.0000  2 H 1.65
N2 0.0000 0.5000 0.0000  2 H 1.65
H1 0.0000 0.0000 0.0000  4 N 1.65
Sr1 0.5000 0.5000 0.5000  4 F 2.33
F1 0.0000 0.0000 0.5000  4 Sr 2.33, 2 H 2.49

=====

Here is crystalline CeDyRe at its relaxed geometry from the Alexandria database. Energies are from PBE.

Properties
Its space group is R-3m. As for the formation energy: 0.7 eV/f.u. For the relative energy among the computed polymorphs, the calculation gives 0.166 eV/atom. The calculation puts the total magnetization at 1.6 Bohr magnetons per cell. The density of states at the Fermi level comes out at 6.6 states/eV/f.u.

a = 4.0274 Å, b = 4.0274 Å, c = 12.8410 Å
α = 80.98°, β = 80.98°, γ = 60.00°
Last column: nearest neighbours and their distance in Å.
Fractional coordinates of all 6 atoms:
Re1 0.8428 0.8428 0.4715  3 Re 2.43
Ce1 0.5568 0.5568 0.3297  3 Re 2.93
Re2 0.1572 0.1572 0.5285  3 Re 2.43
Ce2 0.4432 0.4432 0.6703  3 Re 2.93
Dy1 0.7007 0.7007 0.8978  3 Dy 3.47, 3 Ce 3.70
Dy2 0.2993 0.2993 0.1022  3 Dy 3.47, 3 Ce 3.70

=====

Here is crystalline LaTb7Sm2 at its relaxed geometry from the Alexandria database. Energies are from PBE.

Properties
Its space group is Cmmm. As for the formation energy: 6.7 eV/f.u. For the relative energy among the computed polymorphs, the calculation gives 0.652 eV/atom. The calculation puts the total magnetization at 0.0 Bohr magnetons per cell. The density of states at the Fermi level comes out at 14.2 states/eV/f.u.

a = 5.6106 Å, b = 9.2632 Å, c = 9.2633 Å
α = 123.76°, β = 90.00°, γ = 90.00°
Last column: nearest neighbours and their distance in Å.
Fractional coordinates of all 10 atoms:
Tb1 0.0000 0.7815 0.2185  2 Sm 3.08
Tb2 0.0000 0.2185 0.7815  2 Sm 3.08
La1 0.0000 0.0000 0.0000  10 Tb 3.57-3.71
Tb3 0.5000 0.2921 0.0627  2 Tb 3.10-3.38, 2 Sm 3.17-3.36
Sm1 0.5000 0.2968 0.7032  7 Tb 3.08-3.36
Tb4 0.5000 0.9373 0.7079  2 Tb 3.10-3.38, 2 Sm 3.17-3.36
Tb5 0.5000 0.5000 0.5000  2 Sm 3.32, 4 Tb 3.38
Sm2 0.5000 0.7032 0.2968  7 Tb 3.08-3.36
Tb6 0.5000 0.0627 0.2921  2 Tb 3.10-3.38, 2 Sm 3.17-3.36
Tb7 0.5000 0.7079 0.9373  2 Tb 3.10-3.38, 2 Sm 3.17-3.36

=====

Here is crystalline ThMgSc2Zn4 at its relaxed geometry from the Alexandria database. Energies are from PBE.

Properties
Its space group is R-3m. As for the formation energy: -1.8 eV/f.u. The calculation puts the total magnetization at 0.0 Bohr magnetons per cell. The density of states at the Fermi level comes out at 5.8 states/eV/f.u.

a = 4.7015 Å, b = 4.7015 Å, c = 8.9859 Å
α = 74.83°, β = 74.83°, γ = 60.00°
Last column: nearest neighbours and their distance in Å.
Fractional coordinates of all 8 atoms:
Zn1 0.3892 0.3892 0.8323  1 Mg 2.85, 3 Sc 2.88, 3 Th 3.07
Zn2 0.1271 0.1271 0.6187  4 Sc 2.85-2.91, 3 Mg 2.90
Zn3 0.8729 0.8729 0.3813  4 Sc 2.85-2.91, 3 Mg 2.90
Th1 0.0000 0.0000 0.0000  8 Zn 3.07-3.27
Sc1 0.7598 0.7598 0.7207  7 Zn 2.85-2.91
Zn4 0.6108 0.6108 0.1677  1 Mg 2.85, 3 Sc 2.88, 3 Th 3.07
Sc2 0.2402 0.2402 0.2793  7 Zn 2.85-2.91
Mg1 0.5000 0.5000 0.5000  8 Zn 2.85-2.90

=====

Here is crystalline AcMg6Sn2 at its relaxed geometry from the Alexandria database. Energies are from PBE.

Properties
Its space group is P4/mmm. As for the formation energy: -2.2 eV/f.u. The calculation puts the total magnetization at 0.0 Bohr magnetons per cell. The density of states at the Fermi level comes out at 4.0 states/eV/f.u.

a = 4.6163 Å, b = 4.6163 Å, c = 10.9314 Å
α = 90.00°, β = 90.00°, γ = 90.00°
Last column: nearest neighbours and their distance in Å.
Fractional coordinates of all 9 atoms:
Sn1 0.5000 0.5000 0.1355  4 Mg 2.93, 1 Sn 2.96
Mg1 0.5000 0.0000 0.3006  2 Sn 2.93, 8 Mg 3.17-3.26
Mg2 0.0000 0.0000 0.5000  12 Mg 3.17-3.26
Mg3 0.5000 0.5000 0.5000  12 Mg 3.17-3.26
Mg4 0.0000 0.5000 0.6994  2 Sn 2.93, 8 Mg 3.17-3.26
Mg5 0.0000 0.5000 0.3006  2 Sn 2.93, 8 Mg 3.17-3.26
Mg6 0.5000 0.0000 0.6994  2 Sn 2.93, 8 Mg 3.17-3.26
Sn2 0.5000 0.5000 0.8645  4 Mg 2.93, 1 Sn 2.96
Ac1 0.0000 0.0000 0.0000  8 Sn 3.58

=====

Here is crystalline ZrAlAu at its relaxed geometry from the Alexandria database. Energies are from PBE.

Properties
Its space group is Cm. As for the formation energy: -1.5 eV/f.u. The calculation puts the total magnetization at 0.0 Bohr magnetons per cell. The density of states at the Fermi level comes out at 2.8 states/eV/f.u.

a = 5.5005 Å, b = 5.3851 Å, c = 4.1427 Å
α = 67.39°, β = 90.01°, γ = 88.59°
Last column: nearest neighbours and their distance in Å.
Fractional coordinates of all 6 atoms:
Zr1 0.2670 0.7982 0.3973  3 Al 2.83-3.04, 5 Au 2.88-3.17
Al1 0.2715 0.4092 0.0916  2 Au 2.61, 2 Al 2.68, 4 Zr 2.83-2.91
Au1 0.0435 0.2192 0.6866  4 Al 2.61-2.81, 2 Au 2.85
Au2 0.7522 0.9996 0.2962  2 Al 2.62, 2 Au 2.85, 3 Zr 2.86-2.88
Al2 0.5332 0.2189 0.6866  4 Au 2.62-2.81, 2 Al 2.68
Zr2 0.7668 0.6029 0.9944  5 Au 2.86-3.18, 4 Al 2.91-3.12